Record 1
## Sm2Ge6Au (PBE)

Data for a geometry-optimized Sm2Ge6Au structure. Values from VASP.

The structure in Quantum ESPRESSO input format:
```
&SYSTEM
  ibrav = 0, nat = 9, ntyp = 3
/
ATOMIC_SPECIES
Ge 72.64 Ge.upf
Sm 150.36 Sm.upf
Au 196.97 Au.upf
CELL_PARAMETERS angstrom
8.182 7.254 -3.062
-10.446 -3.897 2.153
0.332 1.295 3.954
ATOMIC_POSITIONS angstrom
Ge 8.003 7.146 -3.012
Ge 2.068 3.594 -1.350
Ge -3.238 0.966 2.159
Ge -5.981 -1.224 0.903
Ge 5.901 5.888 -2.423
Ge -1.140 2.221 1.571
Sm 4.219 5.429 0.071
Sm -8.035 -1.906 3.501
Au -0.013 2.348 -0.768
```

Output
Density of states at the Fermi level: 1.253 states/eV per cell
Formation energy from the elements: -0.411 eV per atom
Spin magnetization: 0.00 μB/cell

Record 2
## La2SnAu (PBE)

Data for a geometry-optimized La2SnAu structure. Values from VASP.

The structure in Quantum ESPRESSO input format:
```
&SYSTEM
  ibrav = 0, nat = 4, ntyp = 3
/
ATOMIC_SPECIES
La 138.91 La.upf
Sn 118.71 Sn.upf
Au 196.97 Au.upf
CELL_PARAMETERS angstrom
-0.665 -0.895 3.604
-3.146 -1.809 -1.030
4.218 -6.813 -0.913
ATOMIC_POSITIONS angstrom
La 3.223 -5.206 -0.697
La 0.995 -1.607 -0.215
Sn 0.204 -4.759 0.831
Au -1.905 -1.352 1.287
```

Output
Density of states at the Fermi level: 3.043 states/eV per cell
Formation energy from the elements: -0.760 eV per atom
Spin magnetization: 0.00 μB/cell

Record 3
## Sc8TcHg2 (PBE)

Data for a geometry-optimized Sc8TcHg2 structure. Values from VASP.

The structure in Quantum ESPRESSO input format:
```
&SYSTEM
  ibrav = 0, nat = 11, ntyp = 3
/
ATOMIC_SPECIES
Sc 44.96 Sc.upf
Tc 98.00 Tc.upf
Hg 200.59 Hg.upf
CELL_PARAMETERS angstrom
-1.617 -3.815 -2.883
6.091 -2.288 -0.389
-3.390 -1.048 7.707
ATOMIC_POSITIONS angstrom
Sc 0.607 -3.587 4.405
Sc 1.521 -5.601 2.138
Sc 3.399 -4.661 -0.158
Sc 1.470 -0.553 -0.093
Sc -0.437 -1.551 2.297
Sc 0.477 -3.564 0.029
Sc -0.386 -6.598 4.528
Sc -2.315 -2.490 4.593
Tc -0.809 -1.908 -1.442
Hg 2.619 -2.662 2.054
Hg -1.535 -4.489 2.381
```

Output
Density of states at the Fermi level: 9.403 states/eV per cell
Formation energy from the elements: -0.221 eV per atom
Spin magnetization: 0.03 μB/cell

Record 4
## CaSm5In3 (PBE)

Data for a geometry-optimized CaSm5In3 structure. Values from VASP.

The structure in Quantum ESPRESSO input format:
```
&SYSTEM
  ibrav = 0, nat = 18, ntyp = 3
/
ATOMIC_SPECIES
In 114.82 In.upf
Sm 150.36 Sm.upf
Ca 40.08 Ca.upf
CELL_PARAMETERS angstrom
6.869 0.000 0.000
0.000 9.532 0.000
0.000 -4.766 8.255
ATOMIC_POSITIONS angstrom
In 5.151 6.360 0.000
In 1.717 3.180 5.508
In 1.717 3.172 0.000
In 5.151 1.586 2.747
In 1.717 -1.586 2.747
In 5.151 6.352 5.508
Sm 1.717 1.596 2.764
Sm 5.151 3.170 5.492
Sm 1.717 6.341 0.000
Sm 3.434 0.000 5.503
Sm 0.000 0.000 5.503
Sm 5.151 3.191 0.000
Sm 0.000 4.766 2.752
Sm 3.434 4.766 2.752
Sm 5.151 7.937 2.764
Sm 1.717 -3.170 5.492
Ca 3.434 0.000 0.000
Ca 0.000 0.000 0.000
```

Output
Density of states at the Fermi level: 17.069 states/eV per cell
Formation energy from the elements: -0.373 eV per atom
Spin magnetization: 0.00 μB/cell

Record 5
## La2Sm3ThAs6 (PBE)

Data for a geometry-optimized La2Sm3ThAs6 structure. Values from VASP.

The structure in Quantum ESPRESSO input format:
```
&SYSTEM
  ibrav = 0, nat = 12, ntyp = 4
/
ATOMIC_SPECIES
La 138.91 La.upf
As 74.92 As.upf
Sm 150.36 Sm.upf
Th 232.04 Th.upf
CELL_PARAMETERS angstrom
-1.065 -1.077 3.998
-3.434 -7.279 -2.876
9.360 -1.834 -0.287
ATOMIC_POSITIONS angstrom
La 1.798 -3.228 -0.391
La 3.063 -6.963 1.226
As 0.357 -5.599 0.872
As 7.410 -4.705 2.992
As -2.549 -5.486 -2.157
As 4.504 -4.592 -0.038
As 2.736 -8.303 -1.509
As 2.125 -1.888 2.343
Sm -2.249 -4.178 0.561
Sm 4.763 -3.333 2.656
Sm 0.098 -6.857 -1.822
Th -0.533 -0.539 1.999
```

Output
Density of states at the Fermi level: 1.987 states/eV per cell
Formation energy from the elements: -1.540 eV per atom
Spin magnetization: 0.00 μB/cell

Record 6
## Li2Np2S5 (PBE)

Data for a geometry-optimized Li2Np2S5 structure. Values from VASP.

The structure in Quantum ESPRESSO input format:
```
&SYSTEM
  ibrav = 0, nat = 18, ntyp = 3
/
ATOMIC_SPECIES
S 32.06 S.upf
Np 237.00 Np.upf
Li 6.94 Li.upf
CELL_PARAMETERS angstrom
6.144 0.000 -2.195
-1.021 6.074 -2.859
-0.067 0.668 9.509
ATOMIC_POSITIONS angstrom
S 4.004 3.483 -0.331
S 2.219 3.260 4.370
S 1.219 1.774 1.570
S 0.946 5.330 1.754
S 5.004 4.969 2.469
S 4.070 4.854 -3.472
S 1.028 4.678 -2.292
S 4.261 1.889 6.758
S 1.159 2.065 7.773
S 4.676 1.413 2.500
Np 1.387 5.705 4.367
Np 3.362 1.038 0.198
Np -0.119 3.468 0.152
Np 4.867 3.275 4.414
Li 0.844 1.293 3.932
Li 3.218 5.449 0.879
Li 2.720 3.037 -2.583
Li 0.158 0.000 -0.057
```

Output
Density of states at the Fermi level: 31.955 states/eV per cell
Raw formation energy: -1155 meV/atom
Spin magnetization: 12.00 μB/cell

- Look up the spin magnetization of the third one.
  0.03 μB/cell